(1)
# Rb4BrO12 PBE-GGA optimized geometry
# Energy relative to the elements, uncorrected: -697.2 meV per atom
# Raw total energy: -4.523 eV/atom
# Volume: 711 Å³/cell
data_Rb4BrO12
_chemical_formula_sum 'Rb8 Br2 O24'
_space_group_name_H-M_alt 'I m -3'
_space_group_IT_number 204
_space_group_name_Hall '-I 2 2 3'
_cell_length_a 8.9251
_cell_length_b 8.9251
_cell_length_c 8.9251
_cell_angle_alpha 90.00
_cell_angle_beta 90.00
_cell_angle_gamma 90.00
loop_
_atom_site_label
_atom_site_type_symbol
_atom_site_fract_x
_atom_site_fract_y
_atom_site_fract_z
Rb1 Rb 0.2500 0.2500 0.2500
Br1 Br 0.0000 0.0000 0.0000
O1 O 0.0000 0.4280 0.1159

(2)
# Rb2BrO2 PBE-GGA optimized geometry
# Energy relative to the elements, uncorrected: -1189.5 meV per atom
# Relative energy among the computed polymorphs: 0.000 eV per atom
# Raw total energy: -3.894 eV/atom
# Volume: 303 Å³/cell
data_Rb2BrO2
_chemical_formula_sum 'Rb4 Br2 O4'
_space_group_name_H-M_alt 'C 1 2/m 1'
_space_group_IT_number 12
_cell_length_a 7.7696
_cell_length_b 4.9575
_cell_length_c 7.9318
_cell_angle_alpha 90.00
_cell_angle_beta 97.30
_cell_angle_gamma 90.00
loop_
_space_group_symop_operation_xyz
'x,y,z'
'-x,-y,-z'
'-x,y,-z'
'x,-y,z'
'x+1/2,y+1/2,z'
'-x+1/2,-y+1/2,-z'
'-x+1/2,y+1/2,-z'
'x+1/2,-y+1/2,z'
loop_
_atom_site_label
_atom_site_type_symbol
_atom_site_fract_x
_atom_site_fract_y
_atom_site_fract_z
Rb1 Rb 0.1824 0.0000 0.2723
Br1 Br 0.0000 0.5000 0.0000
O1 O 0.0000 0.3633 0.5000